YPuMg2Hg4 | PBE | relaxed

Computed properties:
Volume = 188.9 Å³ per cell
DFT formation energy = -0.338 eV/atom

Cell lengths 5.107, 5.107, 8.868 Å; angles 73.26, 73.26, 60.00 degrees
Positions (direct):
Hg 0.624 0.624 0.129
Hg 0.376 0.376 0.871
Hg 0.874 0.874 0.377
Hg 0.126 0.126 0.623
Mg 0.750 0.750 0.750
Mg 0.250 0.250 0.250
Pu 0.000 0.000 0.000
Y 0.500 0.500 0.500